The following is a DFT calculation (PBE) of an optimized crystal structure of Rb4AgHg2.

CIF file:
```
data_Rb4AgHg2
_chemical_formula_sum 'Rb8 Ag2 Hg4'
_cell_length_a 6.571
_cell_length_b 6.571
_cell_length_c 20.267
_cell_angle_alpha 90.00
_cell_angle_beta 90.00
_cell_angle_gamma 90.00
_space_group_name_H-M_alt 'I 4/m m m'
_space_group_IT_number 139
_space_group_name_Hall '-I 4 2'
loop_
_atom_site_label
_atom_site_fract_x
_atom_site_fract_y
_atom_site_fract_z
Rb1 0.000 0.000 0.182
Rb2 0.000 0.500 0.000
Ag1 0.000 0.000 0.500
Hg1 0.000 0.000 0.361
```

Calculated values
- calculated total energy (eV/atom) = -1.0675
- ΔE_f (eV per atom) = -0.021
- offset from the most stable computed form (eV/atom) = 0.0683
- Fermi-level density of states (states/eV per atom) = 0.613
- M_tot (μB per cell) = 0.00